[1]
DFT (PBE-GGA) results for crystalline Na3TaCd at its relaxed geometry.

Unit cell a=5.533 b=5.533 c=5.533 alpha=90.00 beta=90.00 gamma=90.00
Space group Pm-3m (No. 221)
Symmetry-distinct sites (fractional):
1 Na 0.000 0.000 0.500 x3
2 Ta 0.500 0.500 0.500 x1
3 Cd 0.000 0.000 0.000 x1

Calculated values
ΔE_f = 1.329 eV/atom
ΔE to the lowest computed polymorph = 0 meV/atom

=====

[2]
DFT (PBE-GGA) results for crystalline MgRu4 at its relaxed geometry.

Unit cell a=3.884 b=3.884 c=11.095 alpha=90.00 beta=90.00 gamma=90.00
Space group I4/mmm (No. 139)
Symmetry-distinct sites (fractional):
1 Mg 0.000 0.000 0.000 x2
2 Ru 0.000 0.000 0.397 x4
3 Ru 0.000 0.500 0.250 x4

Calculated values
ΔE_f = 0.335 eV/atom
ΔE to the lowest computed polymorph = 165 meV/atom

=====

[3]
DFT (PBE-GGA) results for crystalline ZnTe2P at its relaxed geometry.

Unit cell a=7.119 b=7.119 c=7.119 alpha=90.00 beta=90.00 gamma=90.00
Space group F-43m (No. 216)
Symmetry-distinct sites (fractional):
1 Zn 0.000 0.000 0.000 x4
2 Te 0.000 0.000 0.500 x4
3 Te 0.250 0.250 0.750 x4
4 P 0.250 0.250 0.250 x4

Calculated values
ΔE to the lowest computed polymorph = 542 meV/atom
uncorrected formation energy = 2.29 eV per formula unit

=====

[4]
DFT (PBE-GGA) results for crystalline GaSiSb2 at its relaxed geometry.

Unit cell a=6.153 b=6.153 c=12.875 alpha=90.00 beta=90.00 gamma=90.00
Space group I-42d (No. 122)
Symmetry-distinct sites (fractional):
1 Ga 0.000 0.000 0.000 x4
2 Si 0.000 0.000 0.500 x4
3 Sb 0.243 0.250 0.625 x8

Calculated values
ΔE to the lowest computed polymorph = 0 meV/atom
uncorrected formation energy = 0.72 eV per formula unit

=====

[5]
DFT (PBE-GGA) results for crystalline Cr2CoSe4 at its relaxed geometry.

Unit cell a=4.919 b=5.122 c=5.897 alpha=107.51 beta=91.38 gamma=93.00
Space group P-1 (No. 2)
Symmetry-distinct sites (fractional):
1 Cr 0.248 0.434 0.331 x2
2 Co 0.500 0.000 0.000 x1
3 Se 0.253 0.592 0.789 x2
4 Se 0.311 0.946 0.333 x2

Calculated values
ΔE to the lowest computed polymorph = 277 meV/atom
uncorrected formation energy = -0.95 eV per formula unit

=====

[6]
DFT (PBE-GGA) results for crystalline Ac6PuS8 at its relaxed geometry.

Unit cell a=12.104 b=12.104 c=12.104 alpha=90.00 beta=90.00 gamma=90.00
Space group Fm-3m (No. 225)
Symmetry-distinct sites (fractional):
1 Ac 0.000 0.250 0.250 x24
2 Pu 0.000 0.000 0.000 x4
3 S 0.000 0.000 0.237 x24
4 S 0.250 0.250 0.250 x8

Calculated values
uncorrected formation energy = -29.86 eV per formula unit

=====

[7]
DFT (PBE-GGA) results for crystalline Ce2NdGe2Au2 at its relaxed geometry.

Unit cell a=4.4554 b=4.4554 c=27.8765 alpha=90.00 beta=90.00 gamma=120.00
Space group R-3m (No. 166, hexagonal axes)
Symmetry-distinct sites (fractional):
1 Ce 0.0000 0.0000 0.1418 x6
2 Nd 0.0000 0.0000 0.0000 x3
3 Ge 0.0000 0.0000 0.2587 x6
4 Au 0.0000 0.0000 0.4051 x6

Calculated values
ΔE_f = -0.622 eV/atom

=====

[8]
DFT (PBE-GGA) results for crystalline SrZr2Ge2 at its relaxed geometry.

Unit cell a=5.153 b=5.153 c=10.132 alpha=90.00 beta=90.00 gamma=90.00
Space group I4/mmm (No. 139)
Symmetry-distinct sites (fractional):
1 Sr 0.000 0.000 0.000 x2
2 Zr 0.000 0.000 0.328 x4
3 Ge 0.000 0.500 0.250 x4

Calculated values
ΔE_f = -0.285 eV/atom
ΔE to the lowest computed polymorph = 234 meV/atom

=====

The following Fermi-level density of states values (in states/eV/cell) correspond, in order, to the records above: 4.1, 11.4, 13.0, 10.6, 2.4, 69.2, 29.2, 7.0.
The following magnetization values (in μB per formula unit) correspond, in order, to the records above: 3.961, 0.000, 0.000, 0.000, 6.707, 6.300, 1.699, 0.000.